1.
{
  "formula": "DyHfCd2Au4",
  "functional": "PBE-GGA",
  "state": "relaxed",
  "cell": [[4.8503, 0.0000, 0.0000], [0.0000, 4.8503, 0.0000], [0.0000, 0.0000, 6.8477]],
  "species": ["Hf", "Cd", "Au", "Au", "Dy", "Cd", "Au", "Au"],
  "frac_coords": [[0.5000, 0.5000, 0.5000], [0.0000, 0.0000, 0.5000], [0.0000, 0.5000, 0.7339], [0.0000, 0.5000, 0.2661], [0.0000, 0.0000, 0.0000], [0.5000, 0.5000, 0.0000], [0.5000, 0.0000, 0.2661], [0.5000, 0.0000, 0.7339]]
}


2.
{
  "formula": "DyCdHgAu",
  "functional": "PBE-GGA",
  "state": "relaxed",
  "cell": [[0.0000, 3.5338, 3.5338], [3.5338, 0.0000, 3.5338], [3.5338, 3.5338, 0.0000]],
  "species": ["Hg", "Au", "Dy", "Cd"],
  "frac_coords": [[0.2500, 0.2500, 0.2500], [0.7500, 0.7500, 0.7500], [0.5000, 0.5000, 0.5000], [0.0000, 0.0000, 0.0000]]
}


Total magnetic moment list, top to bottom, in μB/f.u.: 0.00 0.00
Electronic total energy list, top to bottom, in eV/f.u.: -33.8 -11.2